No. 1
{
  "formula": "Ba2InAs",
  "functional": "GGA-PBE",
  "state": "optimized geometry",
  "polymorph_energy_ev_per_atom": 0.236,
  "total_energy_ev_per_atom": -3.293,
  "formation_enthalpy_0k_ev_per_fu": -1.9,
  "crystal_system": "tetragonal",
  "lattice": [[6.803, -0.004, 0.000], [3.276, 5.962, 0.000], [-5.039, -2.979, 3.465]],
  "species": ["In", "Ba", "Ba", "As"],
  "fractional_positions": [[0.500, 0.500, 0.000], [0.000, 0.000, 0.000], [0.250, 0.750, 0.500], [0.750, 0.250, 0.500]]
}

---

No. 2
{
  "formula": "Ba2In2As",
  "functional": "GGA-PBE",
  "state": "optimized geometry",
  "total_energy_ev_per_atom": -3.189,
  "formation_enthalpy_0k_ev_per_fu": -2.0,
  "crystal_system": "tetragonal",
  "lattice": [[-6.724, -3.871, -1.965], [4.132, -6.817, -0.710], [-0.905, -1.096, 5.255]],
  "species": ["As", "As", "Ba", "Ba", "Ba", "Ba", "In", "In", "In", "In"],
  "fractional_positions": [[0.500, 0.500, 0.000], [0.000, 0.000, 0.000], [0.174, 0.674, 0.500], [0.826, 0.326, 0.500], [0.674, 0.826, 0.500], [0.326, 0.174, 0.500], [0.133, 0.367, 0.000], [0.867, 0.633, 0.000], [0.633, 0.133, 0.000], [0.367, 0.867, 0.000]]
}

---

No. 3
{
  "formula": "BaInAs3",
  "functional": "GGA-PBE",
  "state": "optimized geometry",
  "polymorph_energy_ev_per_atom": 0.913,
  "total_energy_ev_per_atom": -2.820,
  "formation_enthalpy_0k_ev_per_fu": 4.5,
  "crystal_system": "cubic",
  "lattice": [[-4.996, 0.751, -3.032], [-1.185, -5.747, 0.530], [-2.890, 1.060, 5.024]],
  "species": ["Ba", "As", "As", "As", "In"],
  "fractional_positions": [[0.000, 0.000, 0.000], [0.000, 0.500, 0.000], [0.500, 0.000, 0.000], [0.000, 0.000, 0.500], [0.500, 0.500, 0.500]]
}

---

No. 4
{
  "formula": "Ba4InAs",
  "functional": "GGA-PBE",
  "state": "optimized geometry",
  "total_energy_ev_per_atom": -2.244,
  "formation_enthalpy_0k_ev_per_fu": 1.6,
  "crystal_system": "cubic",
  "lattice": [[-4.123, -3.689, -4.467], [-7.072, 0.670, 0.315], [-3.489, 3.354, -5.210]],
  "species": ["Ba", "Ba", "Ba", "Ba", "As", "In"],
  "fractional_positions": [[0.374, 0.374, 0.374], [0.374, 0.878, 0.374], [0.374, 0.374, 0.878], [0.878, 0.374, 0.374], [0.000, 0.000, 0.000], [0.750, 0.750, 0.750]]
}